Record 1
Density functional theory data (GGA-PBE) for crystalline PmSc2Sn3 at its relaxed geometry.

Summary:
Its symmetry is C2/c.

Lattice parameters (Å, degrees): 8.1189 7.8623 7.8623 134.87 100.63 100.63
Closest atoms and distances in Å follow each position.
Fractional coordinates of all 12 atoms:
Pm: 0.2500 0.5701 0.4299  6 Sn 3.18-3.21
Pm: 0.7500 0.4299 0.5701  6 Sn 3.18-3.21
Sc: 0.2500 0.9099 0.0901  6 Sn 2.97-3.06
Sc: 0.2500 0.2718 0.7282  6 Sn 2.95-3.07
Sc: 0.7500 0.0901 0.9099  6 Sn 2.97-3.06
Sc: 0.7500 0.7282 0.2718  6 Sn 2.95-3.07
Sn: 0.9674 0.0911 0.2732  4 Sc 2.95-3.06, 1 Sn 3.14, 2 Pm 3.18-3.19
Sn: 0.4674 0.2732 0.0911  4 Sc 2.95-3.06, 1 Sn 3.14, 2 Pm 3.18-3.19
Sn: 0.0000 0.5000 0.0000  4 Sc 2.97-3.07, 2 Pm 3.21
Sn: 0.0326 0.9089 0.7268  4 Sc 2.95-3.06, 1 Sn 3.14, 2 Pm 3.18-3.19
Sn: 0.5000 0.0000 0.5000  4 Sc 2.97-3.07, 2 Pm 3.21
Sn: 0.5326 0.7268 0.9089  4 Sc 2.95-3.06, 1 Sn 3.14, 2 Pm 3.18-3.19

Record 2
Density functional theory data (GGA-PBE) for crystalline Pm3ScSn3 at its relaxed geometry.

Summary:
Its symmetry is C2/m.

Lattice parameters (Å, degrees): 7.8247 7.8247 7.8295 90.89 90.89 113.58
Closest atoms and distances in Å follow each position.
Fractional coordinates of all 14 atoms:
Pm: 0.6254 0.6254 0.3508  3 Sn 3.07-3.42, 1 Pm 3.22
Pm: 0.1561 0.8439 0.5000  6 Sn 3.08-3.22
Pm: 0.8439 0.1561 0.5000  6 Sn 3.08-3.22
Pm: 0.2261 0.7739 0.0000  4 Sn 3.16-3.34
Pm: 0.7739 0.2261 0.0000  4 Sn 3.16-3.34
Pm: 0.3746 0.3746 0.6492  3 Sn 3.07-3.42, 1 Pm 3.22
Sc: 0.7165 0.7165 0.9055  4 Sn 2.81-3.00
Sc: 0.2835 0.2835 0.0945  4 Sn 2.81-3.00
Sn: 0.9468 0.9468 0.1882  2 Sc 2.92-3.00, 3 Pm 3.07-3.21, 1 Sn 3.11
Sn: 0.8459 0.5028 0.6935  1 Sc 2.81, 1 Pm 3.08
Sn: 0.5028 0.8459 0.6935  1 Sc 2.81, 1 Pm 3.08
Sn: 0.1541 0.4972 0.3065  1 Sc 2.81, 1 Pm 3.08
Sn: 0.4972 0.1541 0.3065  1 Sc 2.81, 1 Pm 3.08
Sn: 0.0532 0.0532 0.8118  2 Sc 2.92-3.00, 3 Pm 3.07-3.21, 1 Sn 3.11

Size of the total moment
In order: 0.0; 0.0
Unit: μB/cell
Formation energy
In order: -581.8; -459.8
Unit: meV/atom